Mg2TiReH: optimized geometry, GGA-PBE.

a = 5.153 Å, b = 5.153 Å, c = 3.048 Å
α = 90.00°, β = 90.00°, γ = 90.00°
Space group P4/mmm (No. 123)
Symmetry-distinct sites (fractional):
Mg  0.000  0.500  0.000 (multiplicity 2)
Ti  0.000  0.000  0.000 (multiplicity 1)
Re  0.500  0.500  0.500 (multiplicity 1)
H  0.000  0.000  0.500 (multiplicity 1)

Properties
- M_tot: 0.266 μB/atom
- Uncorrected energy: -4.415 eV per atom
- Crystal system: tetragonal
- Calculated volume: 16.186 Å³ per atom